CaNp2NiO8 after structural relaxation. Source: the Alexandria database, functional PBE with a Hubbard U.

```
CaNp2NiO8
1.0
-4.7775 0.8032 0.4309
-0.8972 -1.4862 -4.5424
-0.8840 -6.4905 2.2982
Ca Np Ni O
1 2 1 8
Cartesian
-0.4420 -3.2453 1.1491
-3.5052 -5.2447 -0.3196
-3.0536 -1.9288 -1.4937
0.0000 0.0000 0.0000
-1.9088 -2.4960 -2.9705
-3.9039 -0.4715 -2.8332
-4.1717 -1.1665 -0.0860
-4.6499 -4.6775 1.1571
-2.6548 -6.7020 1.0199
-2.3870 -6.0070 -1.7273
-4.2795 -3.7092 -1.6372
-2.2792 -3.4643 -0.1762
```

**Magnetic moment**: 4.00 μB per formula unit
**Total energy**: -8.3992 eV/atom